(1)
Entry from the Alexandria database: crystalline Be2AlCr at its relaxed geometry (PBE).

abc: 2.5735 2.5735 23.7122
angles: 90.00 90.00 120.00
Closest atoms and distances in Å follow each position.
Space group R3m (No. 160, hexagonal axes)
Unique sites:
Be 0.0000 0.0000 0.0000  9 Be 2.30-2.57, 3 Al 2.53
Be 0.0000 0.0000 0.2592  9 Be 2.30-2.57, 3 Cr 2.43
Al 0.0000 0.0000 0.7532  3 Be 2.53, 6 Al 2.57, 3 Cr 2.63
Cr 0.0000 0.0000 0.5112  3 Be 2.43, 6 Cr 2.57, 3 Al 2.63

Formation energy from the elements, eV per atom: 0.27
Total moment, μB per formula unit: 0.000

=====

(2)
Entry from the Alexandria database: crystalline Be2AlCr at its relaxed geometry (PBE).

abc: 3.3248 3.3248 7.8048
angles: 90.00 90.00 90.00
Closest atoms and distances in Å follow each position.
Space group I-4m2 (No. 119)
Unique sites:
Be 0.0000 0.0000 0.0000  4 Al 2.35, 4 Cr 2.56, 4 Be 2.56
Be 0.0000 0.5000 0.2500  4 Cr 2.35, 4 Be 2.56, 4 Al 2.56
Al 0.0000 0.0000 0.5000  8 Be 2.35-2.56, 4 Cr 2.56
Cr 0.0000 0.5000 0.7500  8 Be 2.35-2.56, 4 Al 2.56

Formation energy from the elements, eV per atom: 0.01
Total moment, μB per formula unit: 0.823

=====

(3)
Entry from the Alexandria database: crystalline BeAlCr at its relaxed geometry (PBE).

abc: 3.9527 3.9527 2.6412
angles: 90.00 90.00 120.00
Closest atoms and distances in Å follow each position.
Space group P-6m2 (No. 187)
Unique sites:
Be 0.0000 0.0000 0.0000  3 Al 2.28
Al 0.3333 0.6667 0.0000  3 Be 2.28
Cr 0.6667 0.3333 0.5000  6 Be 2.64, 6 Al 2.64, 2 Cr 2.64

Formation energy from the elements, eV per atom: 0.02
Total moment, μB per formula unit: 1.564

=====

(4)
Entry from the Alexandria database: crystalline Be4AlCr at its relaxed geometry (PBE).

abc: 6.1692 6.1692 6.1692
angles: 90.00 90.00 90.00
Closest atoms and distances in Å follow each position.
Space group F-43m (No. 216)
Unique sites:
Be 0.1234 0.1234 0.1234  6 Be 2.15-2.21
Al 0.0000 0.0000 0.5000  12 Be 2.56, 4 Cr 2.67
Cr 0.2500 0.2500 0.7500  12 Be 2.55, 4 Al 2.67

Formation energy from the elements, eV per atom: -0.11
Total moment, μB per formula unit: 3.009

=====

(5)
Entry from the Alexandria database: crystalline Be2AlCr at its relaxed geometry (PBE).

abc: 2.5837 2.5837 23.6465
angles: 90.00 90.00 120.00
Closest atoms and distances in Å follow each position.
Space group R-3m (No. 166, hexagonal axes)
Unique sites:
Be 0.0000 0.0000 0.2469  3 Cr 2.41, 3 Al 2.53, 6 Be 2.58
Al 0.0000 0.0000 0.0000  6 Be 2.53, 6 Al 2.58
Cr 0.0000 0.0000 0.5000  6 Be 2.41, 6 Cr 2.58

Formation energy from the elements, eV per atom: 0.28
Total moment, μB per formula unit: 0.000

=====

(6)
Entry from the Alexandria database: crystalline BeAl2Cr at its relaxed geometry (PBE).

abc: 2.6297 3.9490 4.9844
angles: 90.00 99.81 90.00
Closest atoms and distances in Å follow each position.
Space group Pm (No. 6)
Unique sites:
Be 0.0000 0.0000 0.0000  3 Al 2.30-2.43, 2 Cr 2.39
Al 0.6283 0.5000 0.7580  2 Be 2.43, 2 Cr 2.51-2.64, 4 Al 2.63-2.70
Al 0.9532 0.0000 0.4576  1 Be 2.30
Cr 0.3791 0.5000 0.2212  2 Be 2.39, 6 Al 2.51-2.64, 2 Cr 2.63

Formation energy from the elements, eV per atom: 0.06
Total moment, μB per formula unit: 0.000

=====

(7)
Entry from the Alexandria database: crystalline Be2AlCr at its relaxed geometry (PBE).

abc: 3.6815 2.5626 9.1294
angles: 90.00 90.00 90.00
Closest atoms and distances in Å follow each position.
Space group Amm2 (No. 38)
Unique sites:
Be 0.0000 0.0000 0.0000  2 Be 2.17
Be 0.5000 0.0000 0.1266  2 Be 2.17, 1 Al 2.34, 4 Cr 2.43
Al 0.5000 0.0000 0.3832  7 Be 2.34-2.56, 2 Al 2.56
Cr 0.0000 0.0000 0.7293  7 Be 2.43-2.47, 2 Cr 2.56, 4 Al 2.65

Formation energy from the elements, eV per atom: 0.06
Total moment, μB per formula unit: 0.481

=====

(8)
Entry from the Alexandria database: crystalline BeAlCr at its relaxed geometry (PBE).

abc: 5.6823 5.6823 5.6823
angles: 90.00 90.00 90.00
Closest atoms and distances in Å follow each position.
Space group F-43m (No. 216)
Unique sites:
Be 0.0000 0.0000 0.0000  4 Cr 2.46
Al 0.0000 0.0000 0.5000  4 Cr 2.46
Cr 0.2500 0.2500 0.7500  4 Be 2.46, 4 Al 2.46

Formation energy from the elements, eV per atom: 0.67
Total moment, μB per formula unit: 2.527

=====

(9)
Entry from the Alexandria database: crystalline Be2AlCr at its relaxed geometry (PBE).

abc: 8.4966 2.6245 4.2163
angles: 90.00 107.34 90.00
Closest atoms and distances in Å follow each position.
Space group C2/m (No. 12)
Unique sites:
Be 0.2412 0.0000 0.2120  2 Be 2.26, 2 Cr 2.37
Al 0.0000 0.0000 0.5000  4 Cr 2.48, 6 Be 2.54-2.68, 2 Al 2.62
Cr 0.0000 0.5000 0.0000  6 Be 2.37-2.61, 4 Al 2.48, 2 Cr 2.62

Formation energy from the elements, eV per atom: 0.13
Total moment, μB per formula unit: 0.186

=====

(10)
Entry from the Alexandria database: crystalline BeAlCrFe at its relaxed geometry (PBE).

abc: 5.5994 5.5994 5.5994
angles: 90.00 90.00 90.00
Closest atoms and distances in Å follow each position.
Space group F-43m (No. 216)
Unique sites:
Be 0.0000 0.0000 0.0000  4 Cr 2.42, 4 Al 2.42
Al 0.2500 0.2500 0.2500  4 Fe 2.42, 4 Be 2.42
Cr 0.2500 0.2500 0.7500  4 Fe 2.42, 4 Be 2.42
Fe 0.0000 0.0000 0.5000  4 Cr 2.42, 4 Al 2.42

Formation energy from the elements, eV per atom: -0.14
Total moment, μB per formula unit: 1.023

=====

(11)
Entry from the Alexandria database: crystalline BeAl2CrH at its relaxed geometry (PBE).

abc: 4.8520 4.8520 3.1478
angles: 90.00 90.00 90.00
Closest atoms and distances in Å follow each position.
Space group P4/mmm (No. 123)
Unique sites:
Be 0.0000 0.0000 0.0000  8 Al 2.89, 2 Be 3.15
Al 0.0000 0.5000 0.5000  2 Cr 2.43
Cr 0.5000 0.5000 0.5000  2 H 1.57
H 0.5000 0.5000 0.0000  2 Cr 1.57

Total energy, eV per atom: -4.041
Total moment, μB per formula unit: 2.478

=====

(12)
Entry from the Alexandria database: crystalline Be2AlCrI at its relaxed geometry (PBE).

abc: 4.3080 4.3080 5.9059
angles: 90.00 90.00 90.00
Closest atoms and distances in Å follow each position.
Space group P4/mmm (No. 123)
Unique sites:
Be 0.0000 0.5000 0.0000  2 Al 2.15
Al 0.0000 0.0000 0.0000  4 Be 2.15
Cr 0.5000 0.5000 0.5000  4 I 3.05
I 0.0000 0.0000 0.5000  2 Al 2.95, 4 Cr 3.05

Formation energy without anion corrections, eV/atom: 1.57
Total moment, μB per formula unit: 0.272

=====

- The highest total moment belongs to which entry?
  Be4AlCr

=====

What did the ninth record say?
Entry from the Alexandria database: crystalline Be2AlCr at its relaxed geometry (PBE).

abc: 8.4966 2.6245 4.2163
angles: 90.00 107.34 90.00
Closest atoms and distances in Å follow each position.
Space group C2/m (No. 12)
Unique sites:
Be 0.2412 0.0000 0.2120  2 Be 2.26, 2 Cr 2.37
Al 0.0000 0.0000 0.5000  4 Cr 2.48, 6 Be 2.54-2.68, 2 Al 2.62
Cr 0.0000 0.5000 0.0000  6 Be 2.37-2.61, 4 Al 2.48, 2 Cr 2.62

Formation energy from the elements, eV per atom: 0.13
Total moment, μB per formula unit: 0.186